(1)
The following is a DFT calculation (PBE) of crystalline CuBiBr4 at its relaxed geometry.

excess energy over the best structure of this formula in the dataset: 0.039 eV per atom
DOS at the Fermi energy: 0.00 states/eV/f.u.
raw formation energy: -0.4991 eV/atom
density: 4.2 g cm⁻³

Geometry as POSCAR:
```
CuBiBr4
1.0
-3.248 3.248 5.556
3.248 -3.248 5.556
3.248 3.248 -5.556
Cu Bi Br
1 1 4
Direct
0.000 0.000 0.000
0.250 0.750 0.500
0.112 0.118 0.458
0.346 0.888 0.007
0.661 0.654 0.542
0.882 0.339 0.993
```


(2)
The following is a DFT calculation (PBE) of crystalline U2BeGe4Rh3 at its relaxed geometry.

DOS at the Fermi energy: 14.42 states/eV/f.u.
ΔE_f: -413 meV/atom
density: 10.4 g cm⁻³

Geometry as POSCAR:
```
U2BeGe4Rh3
1.0
3.930 0.000 0.000
0.000 3.930 0.000
0.000 0.000 11.208
U Be Ge Rh
2 1 4 3
Direct
0.000 0.500 0.247
0.500 0.000 0.753
0.500 0.500 0.000
0.000 0.000 0.500
0.000 0.500 0.871
0.500 0.000 0.129
0.500 0.500 0.500
0.000 0.000 0.000
0.000 0.500 0.653
0.500 0.000 0.347
```